Compound: MnFeSiO4
Source: the Alexandria database
Functional: GGA+U
Structure: optimized geometry

Calculated values
uncorrected energy: -104.2 eV per cell
polymorph energy (0 for the lowest one): 0.147 eV per atom

a b c (Å): 5.246 5.654 5.825
angles (deg): 90.00 106.27 90.00
Positions (direct):
Mn: 0.738 0.750 0.940
Mn: 0.262 0.250 0.060
O: 0.510 0.250 0.841
O: 0.066 0.974 0.266
O: 0.934 0.026 0.734
O: 0.934 0.474 0.734
O: 0.066 0.526 0.266
O: 0.538 0.250 0.400
O: 0.462 0.750 0.600
O: 0.490 0.750 0.159
Fe: 0.822 0.750 0.474
Fe: 0.178 0.250 0.526
Si: 0.717 0.250 0.676
Si: 0.283 0.750 0.324